A plane-wave DFT calculation with PBE was carried out for a relaxed structure of Zr3FeSb.

Unit cell a=4.8207 b=4.8207 c=4.8207 alpha=90.00 beta=90.00 gamma=90.00
Last column: nearest neighbours and their distance in Å.
Sites, in units of the cell vectors:
Sb 0.5000 0.5000 0.5000  12 Zr 3.41
Fe 0.0000 0.0000 0.0000  6 Zr 2.41
Zr 0.0000 0.5000 0.0000  2 Fe 2.41
Zr 0.0000 0.0000 0.5000  2 Fe 2.41
Zr 0.5000 0.0000 0.0000  2 Fe 2.41

Properties
SG   No. 221
Total magnetization   0.0 μB per formula unit
Uncorrected formation energy   -0.47 eV per formula unit
Energy above the most stable polymorph in this dataset   0 kJ/mol of formula units
Raw total energy   -7.74 eV per atom